Tb4YTm7: optimized geometry, PBE-GGA.

It has space group C2/m (No. 12), with a = 12.0210 Å, b = 5.7990 Å, c = 12.5882 Å, α = 90.00°, β = 118.42° and γ = 90.00°. Symmetry generates all atoms from Tb at (0.1364, 0.0000, 0.2757), Tb at (0.2414, 0.5000, 0.1788), Y at (0.0000, 0.5000, 0.5000), Tm at (0.0000, 0.0000, 0.5000), Tm at (0.0618, 0.5000, 0.8215), Tm at (0.1341, 0.0000, 0.9998) and Tm at (0.2131, 0.5000, 0.4239).

For the density of states at the Fermi level, the calculation gives 1.66 states/eV/atom. As for the distance to the lowest polymorph of the same formula: 2.45 eV per formula unit. The formation energy comes out at 293 meV/atom.